Below is an optimized crystal structure of VOF, with properties calculated at the PBE with a Hubbard U level.

Lattice parameters (Å, degrees): 6.2787 5.9109 5.2253 68.32 61.02 50.66
Last column: nearest neighbours and their distance in Å.
Sites, in units of the cell vectors:
V1 0.0756 0.6744 0.0756  2 F 2.03, 4 O 2.06-2.07
V2 0.3256 0.9244 0.3256  2 F 2.03, 4 O 2.06-2.07
V3 0.6744 0.0756 0.6744  2 F 2.03, 4 O 2.06-2.07
V4 0.9244 0.3256 0.9244  2 F 2.03, 4 O 2.06-2.07
O1 0.0107 0.0107 0.7393  4 V 2.06-2.07
O2 0.2607 0.2607 0.9893  4 V 2.06-2.07
O3 0.7393 0.7393 0.0107  4 V 2.06-2.07
O4 0.9893 0.9893 0.2607  4 V 2.06-2.07
F1 0.0000 0.5000 0.5000  2 V 2.03
F2 0.5000 0.0000 0.5000  2 V 2.03
F3 0.5000 0.5000 0.0000  2 V 2.03
F4 0.5000 0.5000 0.5000  2 V 2.03

## Properties
spin magnetization = 2.00 μB per formula unit
VASP energy = -0.5234 Ry per atom